# YSc2

A relaxed structure of YSc2 (GGA-PBEsol, Alexandria).

As for the total energy: -6.65 eV/atom. The total magnetic moment is 0.00 μB/f.u. Its energy of formation is 0.53 kcal/mol of atoms.

The structure belongs to space group C2/m (No. 12); the cell edges are 11.944, 3.386 and 7.882 Å and the angles 90.00°, 103.47° and 90.00°. The inequivalent atoms are Y at (0.185, 0.000, 0.139), Sc at (0.032, 0.500, 0.788) and Sc at (0.138, 0.000, 0.524).


# SbTePt2

A relaxed structure of SbTePt2 (GGA-PBEsol, Alexandria).

As for the total energy: -5.50 eV/atom. For the formation energy from raw total energies, the calculation gives 0.007 eV per atom. The total magnetic moment is 0.00 μB/f.u.

The structure belongs to space group I4/mmm (No. 139); the cell edges are 4.624, 4.624 and 7.224 Å and the angles 90.00°, 90.00° and 90.00°. The inequivalent atoms are Sb at (0.000, 0.000, 0.000), Te at (0.000, 0.000, 0.500) and Pt at (0.000, 0.500, 0.250).


# SrRuBr

A relaxed structure of SrRuBr (GGA-PBEsol, Alexandria).

As for the total energy: -3.82 eV/atom. For the formation energy from raw total energies, the calculation gives 0.808 eV per atom. The total magnetic moment is 2.83 μB/f.u.

The structure belongs to space group F-43m (No. 216); the cell edges are 7.182, 7.182 and 7.182 Å and the angles 90.00°, 90.00° and 90.00°. The inequivalent atoms are Sr at (0.000, 0.000, 0.000), Ru at (0.250, 0.250, 0.250) and Br at (0.250, 0.250, 0.750).


# MgCoOs3

A relaxed structure of MgCoOs3 (GGA-PBEsol, Alexandria).

As for the total energy: -6.47 eV/atom. The total magnetic moment is 1.70 μB/f.u. Its energy of formation is 63.40 kcal/mol of atoms.

The structure belongs to space group Pm-3m (No. 221); the cell edges are 4.342, 4.342 and 4.342 Å and the angles 90.00°, 90.00° and 90.00°. The inequivalent atoms are Mg at (0.000, 0.000, 0.000), Co at (0.500, 0.500, 0.500) and Os at (0.000, 0.000, 0.500).